No. 1
The following is a DFT calculation (PBE-GGA) of PaInPd2O8 after structural relaxation.

E: -6.41 eV per atom
formation energy without anion corrections: -1.22 eV/atom
size of the total moment: 0.00 μB per formula unit

Cell: 6.0338 6.0338 6.0338 Å, 109.21 109.21 109.99°
Positions (direct):
O 0.3560 0.0336 0.3224
In 0.2500 0.7500 0.5000
O 0.5417 0.7186 0.8231
Pd 0.7500 0.2500 0.5000
O 0.2814 0.1045 0.8231
O 0.7113 0.0336 0.6776
O 0.9664 0.6440 0.6776
Pd 0.5000 0.5000 0.0000
Pa 0.0000 0.0000 0.0000
O 0.9664 0.2887 0.3224
O 0.2814 0.4583 0.1769
O 0.8955 0.7186 0.1769



No. 2
The following is a DFT calculation (PBE-GGA) of Sm2Al4HgAu3 after structural relaxation.

E: -4.10 eV per atom
energy of formation from the pure elements: -644 meV per atom
size of the total moment: 0.00 μB per formula unit

Cell: 4.4037 4.4037 10.6455 Å, 90.00 90.00 90.00°
Positions (direct):
Au 0.0000 0.5000 0.1269
Al 0.0000 0.0000 0.0000
Hg 0.5000 0.5000 0.5000
Sm 0.5000 0.0000 0.2474
Al 0.5000 0.0000 0.6408
Al 0.0000 0.5000 0.3592
Au 0.5000 0.0000 0.8731
Al 0.5000 0.5000 0.0000
Sm 0.0000 0.5000 0.7526
Au 0.0000 0.0000 0.5000



No. 3
The following is a DFT calculation (PBE-GGA) of Al2Cu2Os after structural relaxation.

E: -5.35 eV per atom
energy of formation from the pure elements: 32 meV per atom
size of the total moment: 0.67 μB per formula unit

Cell: 6.8477 6.8477 2.8850 Å, 90.00 90.00 90.00°
Site moments in Bohr magnetons follow the coordinates.
Positions (direct):
Al 0.6516 0.1516 0.0000  0.00
Cu 0.8563 0.3563 0.5000  0.00
Al 0.3484 0.8484 0.0000  0.00
Al 0.8484 0.6516 0.0000  0.00
Al 0.1516 0.3484 0.0000  0.00
Os 0.5000 0.5000 0.0000  0.67
Cu 0.3563 0.1437 0.5000  0.00
Os 0.0000 0.0000 0.0000  0.67
Cu 0.6437 0.8563 0.5000  0.00
Cu 0.1437 0.6437 0.5000  0.00



No. 4
The following is a DFT calculation (PBE-GGA) of AlCrTeI2 after structural relaxation.

E: -3.75 eV per atom
formation energy without anion corrections: 0.17 eV/atom
size of the total moment: 3.03 μB per formula unit

Cell: 5.6537 5.6537 5.2494 Å, 90.00 90.00 90.00°
Site moments in Bohr magnetons follow the coordinates.
Positions (direct):
Al 0.5000 0.5000 0.5000  0.00
Te 0.0000 0.0000 0.5000  -0.30
I 0.0000 0.5000 0.0000  -0.06
Cr 0.0000 0.0000 0.0000  3.34
I 0.5000 0.0000 0.0000  -0.06



No. 5
The following is a DFT calculation (PBE-GGA) of Nd6Y3Ho2Th after structural relaxation.

E: -5.35 eV per atom
energy of formation from the pure elements: 30 meV per atom
size of the total moment: 0.00 μB per formula unit

Cell: 6.2751 6.2751 11.9712 Å, 95.03 95.03 119.97°
Positions (direct):
Y 0.1669 0.8331 0.5000
Y 0.8331 0.1669 0.5000
Th 0.0000 0.0000 0.0000
Y 0.5000 0.5000 0.5000
Ho 0.6667 0.3333 0.0000
Nd 0.0832 0.4132 0.2482
Nd 0.4132 0.0832 0.2482
Nd 0.7533 0.7533 0.2478
Nd 0.9168 0.5868 0.7518
Nd 0.5868 0.9168 0.7518
Ho 0.3333 0.6667 0.0000
Nd 0.2467 0.2467 0.7522



No. 6
The following is a DFT calculation (PBE-GGA) of Pr5YHo4 after structural relaxation.

E: -4.58 eV per atom
energy of formation from the pure elements: 285 meV per atom
size of the total moment: 0.00 μB per formula unit

Cell: 6.3513 7.9920 7.9920 Å, 80.92 66.59 66.59°
Positions (direct):
Ho 0.1008 0.3011 0.3930
Ho 0.7948 0.6989 0.6070
Pr 0.1012 0.6177 0.0831
Y 0.2268 0.0000 0.0000
Ho 0.4018 0.3930 0.6989
Pr 0.6861 0.0000 0.0000
Ho 0.4937 0.6070 0.3011
Pr 0.1843 0.9169 0.6177
Pr 0.8019 0.3823 0.9169
Pr 0.7189 0.0831 0.3823



No. 7
The following is a DFT calculation (PBE-GGA) of Zn2GePd after structural relaxation.

E: -3.26 eV per atom
energy of formation from the pure elements: -174 meV per atom
size of the total moment: 0.00 μB per formula unit

Cell: 3.8876 3.9712 3.9712 Å, 90.00 90.00 90.00°
Positions (direct):
Ge 0.5000 0.0000 0.0000
Zn 0.0000 0.0000 0.5000
Pd 0.5000 0.5000 0.5000
Zn 0.0000 0.5000 0.0000



No. 8
The following is a DFT calculation (PBE-GGA) of Pm3Ho3Er4 after structural relaxation.

E: -4.53 eV per atom
energy of formation from the pure elements: 95 meV per atom
size of the total moment: 0.00 μB per formula unit

Cell: 3.6636 9.3896 9.3896 Å, 90.23 90.00 90.00°
Positions (direct):
Ho 0.0000 0.4953 0.9982
Pm 0.5000 0.3256 0.3265
Er 0.0000 0.3740 0.6260
Pm 0.5000 0.6735 0.6744
Ho 0.0000 0.0018 0.5047
Er 0.0000 0.6251 0.3749
Er 0.0000 0.1263 0.1223
Ho 0.5000 0.1739 0.8261
Pm 0.5000 0.8268 0.1732
Er 0.0000 0.8777 0.8737



no.,volume (Å³/atom)
1,14.1
2,20.6
3,13.5
4,33.6
5,33.5
6,34.2
7,15.3
8,32.3